No. 1
! SCAN YZnIr, single point on PBEsol structure; values from VASP
&SYSTEM
  ibrav = 0, nat = 3, ntyp = 3
/
ATOMIC_SPECIES
Ir 192.22 Ir.upf
Y 88.91 Y.upf
Zn 65.41 Zn.upf
ATOMIC_POSITIONS crystal
Ir 0.5000 0.5000 0.5000
Y 0.2500 0.2500 0.2500
Zn 0.0000 0.0000 0.0000
CELL_PARAMETERS angstrom
-2.7896 3.1693 1.6315
-1.9800 -0.5842 4.0282
1.2679 2.5294 3.5331
! DOS(E_F) = 0.07 states/eV per atom
! magnetization = 0.0 μB/f.u.
! energy of formation = 104 meV/atom
! calculated density = 8.78 g/cm³
! symmetry = F-43m, No. 216


No. 2
! SCAN YZnIr3, single point on PBEsol structure; values from VASP
&SYSTEM
  ibrav = 0, nat = 5, ntyp = 3
/
ATOMIC_SPECIES
Y 88.91 Y.upf
Zn 65.41 Zn.upf
Ir 192.22 Ir.upf
ATOMIC_POSITIONS crystal
Y 0.5000 0.5000 0.5000
Zn 0.0000 0.0000 0.0000
Ir 0.0000 0.5000 0.0000
Ir 0.0000 0.0000 0.5000
Ir 0.5000 0.0000 0.0000
CELL_PARAMETERS angstrom
-2.0288 3.2054 2.4378
-2.8031 -3.0839 1.7222
2.8914 -0.7406 3.3801
! DOS(E_F) = 0.70 states/eV per atom
! magnetization = 0.0 μB/f.u.
! energy of formation = 442 meV/atom
! calculated density = 13.24 g/cm³
! symmetry = Pm-3m, No. 221


No. 3
! SCAN YZn2Ir2, single point on PBEsol structure; values from VASP
&SYSTEM
  ibrav = 0, nat = 5, ntyp = 3
/
ATOMIC_SPECIES
Y 88.91 Y.upf
Zn 65.41 Zn.upf
Ir 192.22 Ir.upf
ATOMIC_POSITIONS crystal
Y 0.0000 0.0000 0.0000
Zn 0.2500 0.7500 0.5000
Zn 0.7500 0.2500 0.5000
Ir 0.3902 0.3902 0.7804
Ir 0.6098 0.6098 0.2196
CELL_PARAMETERS angstrom
-1.7598 1.0264 -3.4075
-3.4900 0.2457 1.8764
3.6006 4.7290 1.8777
! DOS(E_F) = 0.39 states/eV per atom
! magnetization = 0.0 μB/f.u.
! energy of formation = -563 meV/atom
! calculated density = 11.44 g/cm³
! symmetry = I4/mmm, No. 139


No. 4
! SCAN YZnIr2, single point on PBEsol structure; values from VASP
&SYSTEM
  ibrav = 0, nat = 4, ntyp = 3
/
ATOMIC_SPECIES
Ir 192.22 Ir.upf
Y 88.91 Y.upf
Zn 65.41 Zn.upf
ATOMIC_POSITIONS crystal
Ir 0.9998 0.9998 0.0006
Ir 0.2579 0.2579 0.2262
Y 0.5019 0.5019 0.4942
Zn 0.7403 0.7403 0.7790
CELL_PARAMETERS angstrom
-2.3312 1.0633 1.1831
-1.7874 -1.6996 1.3715
3.3877 1.2736 8.8967
! DOS(E_F) = 0.83 states/eV per atom
! magnetization = 0.0 μB/f.u.
! energy of formation = 233 meV/atom
! calculated density = 13.70 g/cm³
! symmetry = R3m, No. 160


No. 5
! SCAN YZnIr2, single point on PBEsol structure; values from VASP
&SYSTEM
  ibrav = 0, nat = 4, ntyp = 3
/
ATOMIC_SPECIES
Ir 192.22 Ir.upf
Y 88.91 Y.upf
Zn 65.41 Zn.upf
ATOMIC_POSITIONS crystal
Ir 0.0000 0.0000 0.5000
Ir 0.5000 0.5000 0.5000
Y 0.5000 0.0000 0.0000
Zn 0.0000 0.5000 0.0000
CELL_PARAMETERS angstrom
-0.4067 -1.9482 -2.0697
1.5862 -3.4838 3.3052
-4.8016 2.1178 0.7731
! DOS(E_F) = 0.45 states/eV per atom
! magnetization = 0.0 μB/f.u.
! energy of formation = -199 meV/atom
! calculated density = 13.78 g/cm³
! symmetry = C2/m, No. 12


No. 6
! SCAN YZnIr, single point on PBEsol structure; values from VASP
&SYSTEM
  ibrav = 0, nat = 3, ntyp = 3
/
ATOMIC_SPECIES
Ir 192.22 Ir.upf
Y 88.91 Y.upf
Zn 65.41 Zn.upf
ATOMIC_POSITIONS crystal
Ir 0.9826 0.9826 0.9651
Y 0.6584 0.6584 0.3169
Zn 0.3590 0.3590 0.7180
CELL_PARAMETERS angstrom
-0.0423 1.6499 2.8939
2.7323 -1.6384 0.9740
1.4320 3.4712 -3.8757
! DOS(E_F) = 0.25 states/eV per atom
! magnetization = 0.0 μB/f.u.
! energy of formation = -565 meV/atom
! calculated density = 10.68 g/cm³
! symmetry = I4mm, No. 107


No. 7
! SCAN Y3ZnIr, single point on PBEsol structure; values from VASP
&SYSTEM
  ibrav = 0, nat = 5, ntyp = 3
/
ATOMIC_SPECIES
Y 88.91 Y.upf
Zn 65.41 Zn.upf
Ir 192.22 Ir.upf
ATOMIC_POSITIONS crystal
Y 0.0000 0.5000 0.0000
Y 0.0000 0.0000 0.5000
Y 0.5000 0.0000 0.0000
Zn 0.5000 0.5000 0.5000
Ir 0.0000 0.0000 0.0000
CELL_PARAMETERS angstrom
-1.7355 4.9639 -0.5673
-1.7671 -0.0481 4.9849
4.6733 1.8252 1.6742
! DOS(E_F) = 1.05 states/eV per atom
! magnetization = 0.0 μB/f.u.
! energy of formation = -312 meV/atom
! calculated density = 5.88 g/cm³
! symmetry = Pm-3m, No. 221


No. 8
! SCAN YZrIr2, single point on PBEsol structure; values from VASP
&SYSTEM
  ibrav = 0, nat = 4, ntyp = 3
/
ATOMIC_SPECIES
Y 88.91 Y.upf
Ir 192.22 Ir.upf
Zr 91.22 Zr.upf
ATOMIC_POSITIONS crystal
Y 0.5000 0.0000 0.6251
Ir 0.0000 0.0000 0.1252
Ir 0.0000 0.5000 0.6248
Zr 0.5000 0.5000 0.1249
CELL_PARAMETERS angstrom
3.1896 0.0000 0.0000
0.0000 4.7881 0.0000
0.0000 0.0000 4.7881
! DOS(E_F) = 0.50 states/eV per atom
! magnetization = 0.0 μB/f.u.
! energy of formation = -965 meV/atom
! calculated density = 12.82 g/cm³
! symmetry = P4/mmm, No. 123


No. 9
! SCAN YZr2Ir, single point on PBEsol structure; values from VASP
&SYSTEM
  ibrav = 0, nat = 4, ntyp = 3
/
ATOMIC_SPECIES
Ir 192.22 Ir.upf
Y 88.91 Y.upf
Zr 91.22 Zr.upf
ATOMIC_POSITIONS crystal
Ir 0.0000 0.0000 0.4768
Y 0.5000 0.5000 0.7143
Zr 0.0000 0.0000 0.0231
Zr 0.5000 0.5000 0.2858
CELL_PARAMETERS angstrom
-1.2596 -2.8669 -1.1401
3.0762 -1.0725 -0.7016
0.5444 -3.0314 7.0211
! DOS(E_F) = 0.93 states/eV per atom
! magnetization = 0.6 μB/f.u.
! energy of formation = -477 meV/atom
! calculated density = 9.04 g/cm³
! symmetry = P4mm, No. 99


No. 10
! SCAN YZrIr2, single point on PBEsol structure; values from VASP
&SYSTEM
  ibrav = 0, nat = 4, ntyp = 3
/
ATOMIC_SPECIES
Y 88.91 Y.upf
Ir 192.22 Ir.upf
Zr 91.22 Zr.upf
ATOMIC_POSITIONS crystal
Y 0.5000 0.5000 0.5000
Ir 0.0000 0.0000 0.2268
Ir 0.0000 0.0000 0.7732
Zr 0.5000 0.5000 0.0000
CELL_PARAMETERS angstrom
3.1921 0.0000 0.0000
0.0000 3.3412 0.0000
0.0000 0.0000 6.9103
! DOS(E_F) = 0.51 states/eV per atom
! magnetization = 0.0 μB/f.u.
! energy of formation = -1026 meV/atom
! calculated density = 12.72 g/cm³
! symmetry = Pmmm, No. 47


No. 11
! SCAN ZnIr2, single point on PBEsol structure; values from VASP
&SYSTEM
  ibrav = 0, nat = 3, ntyp = 2
/
ATOMIC_SPECIES
Zn 65.41 Zn.upf
Ir 192.22 Ir.upf
ATOMIC_POSITIONS crystal
Zn 0.0000 0.0000 0.0000
Ir 0.6696 0.6696 0.3393
Ir 0.3304 0.3304 0.6607
CELL_PARAMETERS angstrom
-2.1793 1.1846 1.0902
-1.4998 -0.8267 -2.0996
0.6102 -4.9927 3.2780
! DOS(E_F) = 0.66 states/eV per atom
! magnetization = 0.0 μB/f.u.
! energy of formation = -91 meV/atom
! calculated density = 17.88 g/cm³
! symmetry = I4/mmm, No. 139


No. 12
! SCAN Zn2Ir3, single point on PBEsol structure; values from VASP
&SYSTEM
  ibrav = 0, nat = 5, ntyp = 2
/
ATOMIC_SPECIES
Zn 65.41 Zn.upf
Ir 192.22 Ir.upf
ATOMIC_POSITIONS crystal
Zn 0.6004 0.6004 0.1988
Zn 0.3996 0.3996 0.8012
Ir 0.0000 0.0000 0.0000
Ir 0.7993 0.7993 0.6021
Ir 0.2007 0.2007 0.3979
CELL_PARAMETERS angstrom
-1.5517 0.2644 2.2325
-0.6104 -2.1951 1.5068
8.0227 0.9658 7.1331
! DOS(E_F) = 0.62 states/eV per atom
! magnetization = 0.0 μB/f.u.
! energy of formation = -132 meV/atom
! calculated density = 17.05 g/cm³
! symmetry = R-3m, No. 166


No. 13
! SCAN ZnIr, single point on PBEsol structure; values from VASP
&SYSTEM
  ibrav = 0, nat = 2, ntyp = 2
/
ATOMIC_SPECIES
Zn 65.41 Zn.upf
Ir 192.22 Ir.upf
ATOMIC_POSITIONS crystal
Zn 0.5000 0.5000 0.5000
Ir 0.0000 0.0000 0.0000
CELL_PARAMETERS angstrom
2.7666 0.0000 0.0000
1.3833 2.3959 0.0000
1.3833 0.7986 4.1418
! DOS(E_F) = 0.48 states/eV per atom
! magnetization = 0.0 μB/f.u.
! energy of formation = -184 meV/atom
! calculated density = 15.58 g/cm³
! symmetry = R-3m, No. 166


No. 14
! SCAN ZnIr, single point on PBEsol structure; values from VASP
&SYSTEM
  ibrav = 0, nat = 6, ntyp = 2
/
ATOMIC_SPECIES
Zn 65.41 Zn.upf
Ir 192.22 Ir.upf
ATOMIC_POSITIONS crystal
Zn 0.6716 0.3433 0.3334
Zn 0.0524 0.1049 0.6078
Zn 0.7201 0.4403 0.9475
Ir 0.9986 0.9972 0.9944
Ir 0.3957 0.7914 0.2808
Ir 0.3282 0.6564 0.6696
CELL_PARAMETERS angstrom
-2.6152 -0.0854 0.8418
2.7579 -1.7821 3.8995
0.0370 6.2708 0.7514
! DOS(E_F) = 0.42 states/eV per atom
! magnetization = 0.0 μB/f.u.
! energy of formation = -156 meV/atom
! calculated density = 15.61 g/cm³
! symmetry = Cm, No. 8